Entry 1:
# TbCd3Rh4, relaxed, DFT PBE-GGA
data_TbCd3Rh4
_chemical_formula_sum 'Tb3 Cd9 Rh12'
_cell_length_a 4.6315
_cell_length_b 4.6315
_cell_length_c 22.6872
_cell_angle_alpha 90.00
_cell_angle_beta 90.00
_cell_angle_gamma 120.00
_symmetry_space_group_name_H-M 'R -3 m'
_symmetry_Int_Tables_number 166
_symmetry_space_group_name_Hall '-R 3 2"'
loop_
_atom_site_label
_atom_site_fract_x
_atom_site_fract_y
_atom_site_fract_z
Tb1 0.0000 0.0000 0.0000
Cd1 0.0000 0.0000 0.2488
Cd2 0.0000 0.0000 0.5000
Rh1 0.0000 0.0000 0.1256
Rh2 0.0000 0.0000 0.3765
# - Total energy: -4.922 eV/atom
# - DFT formation energy: -250 kJ/mol of formula units
# - Spin magnetization: 0.00 μB per formula unit
# - Volume: 17.56 Å³/atom

Entry 2:
# LaSb2Au, relaxed, DFT PBE-GGA
data_LaSb2Au
_chemical_formula_sum 'La2 Sb4 Au2'
_cell_length_a 4.505
_cell_length_b 4.505
_cell_length_c 10.454
_cell_angle_alpha 90.00
_cell_angle_beta 90.00
_cell_angle_gamma 90.00
_symmetry_space_group_name_H-M 'P 4/n m m'
_symmetry_Int_Tables_number 129
loop_
_symmetry_equiv_pos_as_xyz
'x,y,z'
'-x,-y,-z'
'-y+1/2,x,z'
'y+1/2,-x,-z'
'-x+1/2,-y+1/2,z'
'x+1/2,y+1/2,-z'
'y,-x+1/2,z'
'-y,x+1/2,-z'
'x+1/2,-y,-z'
'-x+1/2,y,z'
'-y,-x,-z'
'y,x,z'
'-x,y+1/2,-z'
'x,-y+1/2,z'
'y+1/2,x+1/2,-z'
'-y+1/2,-x+1/2,z'
loop_
_atom_site_label
_atom_site_fract_x
_atom_site_fract_y
_atom_site_fract_z
La1 0.250 0.250 0.246
Sb1 0.250 0.250 0.673
Sb2 0.250 0.750 0.000
Au1 0.250 0.750 0.500
# - Total energy: -4.892 eV/atom
# - Raw formation energy: -75 kJ per mole of atoms
# - Spin magnetization: 0.00 μB per formula unit
# - Volume: 26.52 Å³/atom

Entry 3:
# Zn7Pd2Au3, relaxed, DFT PBE-GGA
data_Zn7Pd2Au3
_chemical_formula_sum 'Zn7 Pd2 Au3'
_cell_length_a 4.437
_cell_length_b 2.858
_cell_length_c 15.407
_cell_angle_alpha 90.00
_cell_angle_beta 94.24
_cell_angle_gamma 90.00
_symmetry_space_group_name_H-M 'P 1 2/m 1'
_symmetry_Int_Tables_number 10
loop_
_symmetry_equiv_pos_as_xyz
'x,y,z'
'-x,-y,-z'
'-x,y,-z'
'x,-y,z'
loop_
_atom_site_label
_atom_site_fract_x
_atom_site_fract_y
_atom_site_fract_z
Zn1 0.000 0.000 0.000
Zn2 0.167 0.500 0.210
Zn3 0.263 0.500 0.545
Zn4 0.354 0.000 0.851
Pd1 0.310 0.500 0.710
Au1 0.218 0.000 0.386
Au2 0.500 0.500 0.000
# - Total energy: -2.623 eV/atom
# - DFT formation energy: -226 kJ/mol of formula units
# - Relative energy among the computed polymorphs: 8.7 meV/atom
# - Spin magnetization: 0.00 μB per formula unit
# - Volume: 16.24 Å³/atom

Question: Among the records above, which one has the highest volume?
Answer: LaSb2Au

Question: What is the formula in the first record?
Answer: TbCd3Rh4

Question: volume of number 2 (LaSb2Au)?
Answer: 26.52 Å³/atom